Below is a relaxed structure of Sc2TaRu, with properties calculated at the PBE-GGA level.

Results
- DFT total energy: -34.25 eV/f.u.
- ΔH_f (0 K): -0.46 eV/f.u.
- Space group: No. 6
- Energy above the lowest structure with this stoichiometry: 146 meV per atom

Lattice parameters (Å, degrees): 4.414 3.089 5.723 76.12 90.00 90.00
Positions (direct):
Ru  0.500  0.742  0.731
Sc  0.000  0.944  0.978
Sc  0.500  0.240  0.266
Ta  0.000  0.574  0.526

***

Below is a relaxed structure of ScTaRu2, with properties calculated at the PBE-GGA level.

Results
- DFT total energy: -37.62 eV/f.u.
- ΔH_f (0 K): -0.89 eV/f.u.
- Space group: No. 119
- Energy above the lowest structure with this stoichiometry: 405 meV per atom

Lattice parameters (Å, degrees): 5.361 5.361 5.361 138.90 138.90 59.52
Positions (direct):
Ru  0.000  0.000  0.000
Ru  0.250  0.750  0.500
Sc  0.500  0.500  0.000
Ta  0.750  0.250  0.500

***

Below is a relaxed structure of Sc2TaRu, with properties calculated at the PBE-GGA level.

Results
- DFT total energy: -34.07 eV/f.u.
- ΔH_f (0 K): -0.28 eV/f.u.
- Space group: No. 47
- Energy above the lowest structure with this stoichiometry: 190 meV per atom

Lattice parameters (Å, degrees): 3.263 4.697 4.730 90.00 90.00 90.00
Positions (direct):
Ru  0.000  0.500  0.500
Sc  0.000  0.000  0.000
Sc  0.500  0.500  0.000
Ta  0.500  0.000  0.500